Compound: B3P2
Source: the Alexandria database
Functional: GGA-PBE
Structure: relaxed

The structure belongs to space group Imm2 (No. 44); the cell edges are 3.212, 6.821 and 5.560 Å and the angles 90.00°, 90.00° and 90.00°. Symmetry generates all atoms from B at (0.000, 0.000, 0.000), B at (0.000, 0.148, 0.261) and P at (0.000, 0.264, 0.929).

The relative energy among the computed polymorphs is 0.069 eV/atom. Its crystal system is orthorhombic. The value obtained for the total moment is 0.0 μB/f.u. Its energy relative to the elements is 20 kJ/mol of atoms.